Record 1
Compound: Be2IrRu
Source: the Alexandria database
Functional: meta-GGA SCAN
Structure: single point on PBEsol structure

Output
E_form in eV/atom: -0.520
Space group: Fm-3m (225)

Unit cell a=3.912 b=3.912 c=3.912 alpha=60.00 beta=60.00 gamma=60.00
Sites, in units of the cell vectors:
1 Ir 0.000 0.000 0.000
2 Be 0.250 0.250 0.250
3 Be 0.750 0.750 0.750
4 Ru 0.500 0.500 0.500

---

Record 2
Compound: Sc2AlCo
Source: the Alexandria database
Functional: meta-GGA SCAN
Structure: single point on PBEsol structure

Output
E_form in eV/atom: 0.100
Space group: I-42d (122)

Unit cell a=5.322 b=5.813 c=5.813 alpha=77.90 beta=62.76 gamma=62.76
Sites, in units of the cell vectors:
1 Al 0.500 0.000 0.000
2 Al 0.250 0.500 0.500
3 Co 0.000 0.000 0.000
4 Co 0.750 0.500 0.500
5 Sc 0.067 0.058 0.558
6 Sc 0.875 0.442 0.058
7 Sc 0.683 0.942 0.442
8 Sc 0.375 0.558 0.942

---

Record 3
Compound: ScTc2Os
Source: the Alexandria database
Functional: meta-GGA SCAN
Structure: single point on PBEsol structure

Output
E_form in eV/atom: -0.026
Space group: P4mm (99)
Relative energy among the computed polymorphs in meV/atom: 122

Unit cell a=2.781 b=2.781 c=7.937 alpha=90.00 beta=90.00 gamma=90.00
Sites, in units of the cell vectors:
1 Tc 0.500 0.500 0.259
2 Tc 0.000 0.000 0.022
3 Os 0.000 0.000 0.476
4 Sc 0.500 0.500 0.743

---

Record 4
Compound: Tm2AgHg
Source: the Alexandria database
Functional: meta-GGA SCAN
Structure: single point on PBEsol structure

Output
E_form in eV/atom: -0.565
Space group: Fm-3m (225)

Unit cell a=5.039 b=5.039 c=5.039 alpha=60.00 beta=60.00 gamma=60.00
Sites, in units of the cell vectors:
1 Hg 0.000 0.000 0.000
2 Tm 0.250 0.250 0.250
3 Tm 0.750 0.750 0.750
4 Ag 0.500 0.500 0.500

---

Record 5
Compound: TlP2Au
Source: the Alexandria database
Functional: meta-GGA SCAN
Structure: single point on PBEsol structure

Output
E_form in eV/atom: 0.163
Space group: R-3m (166)
Relative energy among the computed polymorphs in meV/atom: 250

Unit cell a=3.801 b=3.801 c=6.711 alpha=73.55 beta=73.55 gamma=60.00
Sites, in units of the cell vectors:
1 Au 0.000 0.000 0.000
2 P 0.729 0.729 0.812
3 P 0.271 0.271 0.188
4 Tl 0.500 0.500 0.500

---

Record 6
Compound: ErSi3Ni
Source: the Alexandria database
Functional: meta-GGA SCAN
Structure: single point on PBEsol structure

Output
Space group: Cmmm (65)
Uncorrected formation energy in eV/atom: -0.70

Unit cell a=3.878 b=3.881 c=10.587 alpha=90.00 beta=100.55 gamma=90.00
Sites, in units of the cell vectors:
1 Si 0.782 0.500 0.564
2 Si 0.218 0.500 0.436
3 Si 0.944 0.000 0.887
4 Si 0.443 0.500 0.887
5 Si 0.056 0.000 0.113
6 Si 0.557 0.500 0.113
7 Er 0.669 0.000 0.338
8 Er 0.331 0.000 0.662
9 Ni 0.111 0.500 0.222
10 Ni 0.889 0.500 0.778

---

Record 7
Compound: LiIrRh2
Source: the Alexandria database
Functional: meta-GGA SCAN
Structure: single point on PBEsol structure

Output
E_form in eV/atom: -0.104
Space group: P2/m (10)
Relative energy among the computed polymorphs in meV/atom: 51

Unit cell a=2.612 b=4.653 c=4.670 alpha=111.58 beta=90.00 gamma=90.00
Sites, in units of the cell vectors:
1 Ir 0.500 0.500 0.000
2 Li 0.000 0.500 0.500
3 Rh 0.500 0.000 0.500
4 Rh 0.000 0.000 0.000

---

Record 8
Compound: Sc2Sn2Te
Source: the Alexandria database
Functional: meta-GGA SCAN
Structure: single point on PBEsol structure

Output
Space group: I4/mmm (139)
Uncorrected formation energy in eV/atom: -0.28

Unit cell a=5.523 b=5.915 c=5.523 alpha=62.17 beta=90.00 gamma=117.83
Sites, in units of the cell vectors:
1 Sn 0.339 0.678 0.661
2 Sn 0.661 0.322 0.339
3 Sc 0.750 0.500 0.750
4 Sc 0.250 0.500 0.250
5 Te 0.000 0.000 0.000

---

Record 9
Compound: Mg2AlAg
Source: the Alexandria database
Functional: meta-GGA SCAN
Structure: single point on PBEsol structure

Output
E_form in eV/atom: -0.102
Space group: P4/mmm (123)

Unit cell a=4.015 b=4.270 c=4.270 alpha=90.00 beta=90.00 gamma=90.00
Sites, in units of the cell vectors:
1 Ag 0.500 0.500 0.500
2 Al 0.500 0.000 0.000
3 Mg 0.000 0.500 0.000
4 Mg 0.000 0.000 0.500

---

Record 10
Compound: Ba2V3BiO11
Source: the Alexandria database
Functional: meta-GGA SCAN
Structure: single point on PBEsol structure

Output
Space group: P2_1/c (14)
Uncorrected formation energy in eV/atom: -2.71

Unit cell a=7.709 b=11.212 c=12.307 alpha=103.23 beta=90.00 gamma=90.00
Sites, in units of the cell vectors:
1 V 0.980 0.326 0.818
2 V 0.753 0.024 0.598
3 V 0.481 0.670 0.186
4 V 0.247 0.976 0.402
5 V 0.019 0.170 0.186
6 V 0.020 0.674 0.182
7 V 0.519 0.330 0.814
8 V 0.747 0.524 0.598
9 V 0.520 0.826 0.818
10 V 0.981 0.830 0.814
11 V 0.480 0.174 0.182
12 V 0.253 0.476 0.402
13 Bi 0.000 0.723 0.497
14 Bi 0.000 0.277 0.503
15 Bi 0.500 0.777 0.503
16 Bi 0.500 0.223 0.497
17 Ba 0.273 0.557 0.731
18 Ba 0.727 0.443 0.269
19 Ba 0.751 0.110 0.946
20 Ba 0.773 0.943 0.269
21 Ba 0.249 0.890 0.054
22 Ba 0.251 0.390 0.054
23 Ba 0.749 0.610 0.946
24 Ba 0.227 0.057 0.731
25 O 0.437 0.462 0.889
26 O 0.556 0.035 0.124
27 O 0.302 0.622 0.486
28 O 0.059 0.277 0.686
29 O 0.946 0.188 0.320
30 O 0.054 0.812 0.680
31 O 0.861 0.054 0.719
32 O 0.563 0.538 0.111
33 O 0.943 0.769 0.106
34 O 0.443 0.731 0.894
35 O 0.941 0.281 0.130
36 O 0.059 0.719 0.870
37 O 0.559 0.223 0.314
38 O 0.208 0.866 0.481
39 O 0.937 0.038 0.111
40 O 0.446 0.312 0.680
41 O 0.063 0.962 0.889
42 O 0.557 0.269 0.106
43 O 0.554 0.688 0.320
44 O 0.057 0.231 0.894
45 O 0.751 0.833 0.835
46 O 0.249 0.167 0.165
47 O 0.941 0.723 0.314
48 O 0.444 0.965 0.876
49 O 0.056 0.465 0.876
50 O 0.463 0.977 0.380
51 O 0.537 0.023 0.620
52 O 0.441 0.219 0.870
53 O 0.251 0.667 0.165
54 O 0.639 0.554 0.719
55 O 0.749 0.333 0.835
56 O 0.441 0.777 0.686
57 O 0.559 0.781 0.130
58 O 0.963 0.523 0.620
59 O 0.802 0.878 0.514
60 O 0.361 0.446 0.281
61 O 0.037 0.477 0.380
62 O 0.292 0.366 0.481
63 O 0.139 0.946 0.281
64 O 0.698 0.378 0.514
65 O 0.708 0.634 0.519
66 O 0.198 0.122 0.486
67 O 0.944 0.535 0.124
68 O 0.792 0.134 0.519

---

Record 11
Compound: Cu2OF2
Source: the Alexandria database
Functional: meta-GGA SCAN
Structure: single point on PBEsol structure

Output
Space group: Fddd (70)
Relative energy among the computed polymorphs in meV/atom: 7
Uncorrected formation energy in eV/atom: -1.35

Unit cell a=5.645 b=5.645 c=5.760 alpha=105.54 beta=105.54 gamma=116.95
Last column: magnetic moment on the atom in μB.
Sites, in units of the cell vectors:
1 Cu 0.125 0.375 0.250  0.74
2 Cu 0.125 0.875 0.250  0.74
3 Cu 0.625 0.875 0.750  0.74
4 Cu 0.125 0.875 0.750  0.74
5 F 0.989 0.489 0.979  0.13
6 F 0.261 0.261 0.521  0.13
7 F 0.739 0.739 0.479  0.13
8 F 0.511 0.011 0.021  0.13
9 O 0.000 0.000 0.000  0.24
10 O 0.250 0.750 0.500  0.24

---

Record 12
Compound: SrCo2CuAs
Source: the Alexandria database
Functional: meta-GGA SCAN
Structure: single point on PBEsol structure

Output
E_form in eV/atom: 2.128
Space group: P4/mmm (123)

Unit cell a=4.554 b=4.554 c=5.432 alpha=90.00 beta=90.00 gamma=90.00
Last column: magnetic moment on the atom in μB.
Sites, in units of the cell vectors:
1 Sr 0.000 0.000 0.000  -0.09
2 Cu 0.500 0.500 0.500  0.01
3 Co 0.000 0.500 0.000  1.61
4 Co 0.500 0.000 0.000  1.61
5 As 0.000 0.000 0.500  0.15

---

Record 13
Compound: LiIn3
Source: the Alexandria database
Functional: meta-GGA SCAN
Structure: single point on PBEsol structure

Output
E_form in eV/atom: -0.121
Space group: R-3m (166)

Unit cell a=3.347 b=3.347 c=9.650 alpha=80.01 beta=80.01 gamma=60.00
Sites, in units of the cell vectors:
1 In 0.500 0.500 0.500
2 In 0.255 0.255 0.235
3 In 0.745 0.745 0.765
4 Li 0.000 0.000 0.000

---

Record 14
Compound: La3RuO
Source: the Alexandria database
Functional: meta-GGA SCAN
Structure: single point on PBEsol structure

Output
Space group: Pm-3m (221)
Uncorrected formation energy in eV/atom: -0.11

Unit cell a=5.330 b=5.330 c=5.330 alpha=90.00 beta=90.00 gamma=90.00
Last column: magnetic moment on the atom in μB.
Sites, in units of the cell vectors:
1 Ru 0.000 0.000 0.000  0.03
2 O 0.500 0.500 0.500  0.03
3 La 0.500 0.000 0.000  -0.15
4 La 0.000 0.500 0.000  -0.15
5 La 0.000 0.000 0.500  -0.15

---

Record 15
Compound: BaNb2BrO
Source: the Alexandria database
Functional: meta-GGA SCAN
Structure: single point on PBEsol structure

Output
Space group: P4/mmm (123)
Uncorrected formation energy in eV/atom: 2.26

Unit cell a=5.695 b=5.695 c=5.863 alpha=90.00 beta=90.00 gamma=90.00
Last column: magnetic moment on the atom in μB.
Sites, in units of the cell vectors:
1 O 0.500 0.500 0.500  1.22
2 Nb 0.500 0.000 0.000  2.72
3 Nb 0.000 0.500 0.000  2.72
4 Br 0.000 0.000 0.500  0.08
5 Ba 0.000 0.000 0.000  0.43

---

Record 16
Compound: MgAs2S2
Source: the Alexandria database
Functional: meta-GGA SCAN
Structure: single point on PBEsol structure

Output
Space group: P4/mbm (127)
Uncorrected formation energy in eV/atom: -0.06

Unit cell a=3.520 b=7.691 c=7.691 alpha=90.00 beta=90.00 gamma=90.00
Sites, in units of the cell vectors:
1 As 0.000 0.297 0.797
2 As 0.000 0.703 0.203
3 As 0.000 0.203 0.297
4 As 0.000 0.797 0.703
5 S 0.500 0.153 0.653
6 S 0.500 0.653 0.847
7 S 0.500 0.347 0.153
8 S 0.500 0.847 0.347
9 Mg 0.000 0.000 0.000
10 Mg 0.000 0.500 0.500

---

Record 17
Compound: CoSeCl2
Source: the Alexandria database
Functional: meta-GGA SCAN
Structure: single point on PBEsol structure

Output
Space group: Cmmm (65)
Relative energy among the computed polymorphs in meV/atom: 80
Uncorrected formation energy in eV/atom: -0.12

Unit cell a=3.056 b=3.185 c=9.582 alpha=90.00 beta=90.00 gamma=118.67
Last column: magnetic moment on the atom in μB.
Sites, in units of the cell vectors:
1 Cl 0.000 0.000 0.341  -0.01
2 Cl 0.000 0.000 0.659  -0.01
3 Co 0.500 0.000 0.500  1.04
4 Se 0.500 0.000 0.000  0.14

---

Record 18
Compound: NaV2O4
Source: the Alexandria database
Functional: meta-GGA SCAN
Structure: single point on PBEsol structure

Output
Space group: Pnma (62)
Relative energy among the computed polymorphs in meV/atom: 0
Uncorrected formation energy in eV/atom: -2.58

Unit cell a=2.852 b=9.143 c=10.600 alpha=90.00 beta=90.00 gamma=90.00
Last column: magnetic moment on the atom in μB.
Sites, in units of the cell vectors:
1 O 0.000 0.139 0.980  -0.03
2 O 0.500 0.672 0.070  -0.02
3 O 0.500 0.861 0.480  -0.03
4 O 0.000 0.730 0.282  -0.07
5 O 0.500 0.270 0.782  -0.07
6 O 0.500 0.957 0.145  -0.07
7 O 0.000 0.230 0.217  -0.07
8 O 0.500 0.770 0.717  -0.07
9 O 0.000 0.543 0.854  -0.07
10 O 0.500 0.457 0.354  -0.07
11 O 0.000 0.828 0.929  -0.02
12 O 0.500 0.172 0.429  -0.02
13 O 0.000 0.043 0.645  -0.07
14 O 0.500 0.361 0.019  -0.03
15 O 0.000 0.639 0.519  -0.03
16 O 0.000 0.328 0.570  -0.02
17 V 0.500 0.189 0.614  1.53
18 V 0.000 0.337 0.895  1.48
19 V 0.500 0.689 0.885  1.53
20 V 0.000 0.311 0.385  1.53
21 V 0.000 0.837 0.603  1.48
22 V 0.500 0.663 0.395  1.48
23 V 0.500 0.163 0.103  1.48
24 V 0.000 0.811 0.114  1.53
25 Na 0.000 0.992 0.347  0.00
26 Na 0.500 0.508 0.652  0.00
27 Na 0.000 0.492 0.152  0.00
28 Na 0.500 0.008 0.847  0.00

---

Record 19
Compound: K4I2O9
Source: the Alexandria database
Functional: meta-GGA SCAN
Structure: single point on PBEsol structure

Output
Space group: P6_3/mmc (194)
Uncorrected formation energy in eV/atom: -1.14

Unit cell a=6.088 b=6.088 c=16.020 alpha=90.00 beta=90.00 gamma=120.00
Sites, in units of the cell vectors:
1 O 0.819 0.181 0.107
2 O 0.061 0.530 0.750
3 O 0.362 0.181 0.393
4 O 0.939 0.470 0.250
5 O 0.181 0.819 0.893
6 O 0.362 0.181 0.107
7 O 0.530 0.061 0.250
8 O 0.181 0.362 0.607
9 O 0.819 0.181 0.393
10 O 0.181 0.819 0.607
11 O 0.181 0.362 0.893
12 O 0.819 0.638 0.393
13 O 0.530 0.470 0.250
14 O 0.470 0.530 0.750
15 O 0.819 0.638 0.107
16 O 0.638 0.819 0.893
17 O 0.470 0.939 0.750
18 O 0.638 0.819 0.607
19 I 0.333 0.667 0.660
20 I 0.333 0.667 0.840
21 I 0.667 0.333 0.160
22 I 0.667 0.333 0.340
23 K 0.000 0.000 0.750
24 K 0.667 0.333 0.888
25 K 0.333 0.667 0.388
26 K 0.000 0.000 0.000
27 K 0.000 0.000 0.500
28 K 0.667 0.333 0.612
29 K 0.333 0.667 0.112
30 K 0.000 0.000 0.250

---

Record 20
Compound: Rb3ZrIn
Source: the Alexandria database
Functional: meta-GGA SCAN
Structure: single point on PBEsol structure

Output
E_form in eV/atom: 1.013
Space group: Pm-3m (221)

Unit cell a=6.722 b=6.722 c=6.722 alpha=90.00 beta=90.00 gamma=90.00
Last column: magnetic moment on the atom in μB.
Sites, in units of the cell vectors:
1 Zr 0.500 0.500 0.500  1.76
2 Rb 0.000 0.500 0.000  0.01
3 Rb 0.500 0.000 0.000  0.01
4 Rb 0.000 0.000 0.500  0.01
5 In 0.000 0.000 0.000  0.00

---

Record 21
Compound: NaTbTl2
Source: the Alexandria database
Functional: meta-GGA SCAN
Structure: single point on PBEsol structure

Output
E_form in eV/atom: -0.415
Space group: Fm-3m (225)

Unit cell a=5.236 b=5.236 c=5.236 alpha=60.00 beta=60.00 gamma=60.00
Sites, in units of the cell vectors:
1 Na 0.500 0.500 0.500
2 Tb 0.000 0.000 0.000
3 Tl 0.250 0.250 0.250
4 Tl 0.750 0.750 0.750

---

Record 22
Compound: TaFeI2F
Source: the Alexandria database
Functional: meta-GGA SCAN
Structure: single point on PBEsol structure

Output
Space group: P4/mmm (123)
Uncorrected formation energy in eV/atom: 0.17

Unit cell a=3.637 b=5.334 c=5.334 alpha=90.00 beta=90.00 gamma=90.00
Last column: magnetic moment on the atom in μB.
Sites, in units of the cell vectors:
1 Fe 0.000 0.000 0.000  3.41
2 I 0.000 0.000 0.500  0.01
3 I 0.000 0.500 0.000  0.01
4 F 0.500 0.000 0.000  0.15
5 Ta 0.500 0.500 0.500  1.91

---

Taking the records one at a time from the top gives size of the total moment values of 0.000, 0.000, 0.000, 0.000, 0.000, 0.000, 0.002, 0.000, 0.000, 0.000, 0.400, 0.670, 0.000, 0.239, 1.933, 0.000, 0.327, 0.429, 0.000, 0.639, 0.000, 1.355 μB per atom.
Taking the records one at a time from the top gives volume values of 10.6, 17.8, 15.3, 22.6, 19.8, 15.7, 13.2, 27.1, 18.3, 15.2, 14.1, 22.5, 22.9, 30.3, 38.0, 20.8, 20.5, 9.9, 17.1, 60.7, 25.4, 20.7 A^3/atom.